Computed, not measured: CsPtBr after structural relaxation at the PBE level of DFT.

Cell: 6.7686 6.7686 8.5101 Å, 100.62 100.62 33.50°
Fractional positions:
Cs 0.0000 0.0000 0.0000
Cs 0.6632 0.6632 0.4632
Pt 0.3394 0.3394 0.2257
Pt 0.9109 0.9109 0.4171
Br 0.4407 0.4407 0.6322
Br 0.7411 0.7411 0.0468

- D(E_F) (states/eV per atom) = 0.00
- calculated volume (Å³ per atom) = 35.19
- energy relative to the elements, uncorrected (kJ per mole of atoms) = -62.4